Compound: AgAs2Se
Source: Alexandria
Functional: PBE
Structure: relaxed

Properties
- Calculated total energy: -3.55 eV/atom
- Density of states at the Fermi level: 0.761 states/eV/atom
- Formation energy without anion corrections: 0.362 eV/atom

Geometry as POSCAR:
```
AgAs2Se
1.0
-0.1717 2.7150 0.5916
0.4643 -0.5564 2.6880
10.5998 1.0230 -1.6192
As Se Ag
2 1 1
Direct
0.0000 0.0000 0.9765
0.5000 0.5000 0.2233
0.0000 0.0000 0.5371
0.5000 0.5000 0.7631
```